{"formula": "NiIrC3", "functional": "PBE", "state": "relaxed", "lattice": [[3.707, 0.000, 0.000], [0.000, 3.707, 0.000], [0.000, 0.000, 3.707]], "species": ["Ni", "Ir", "C", "C", "C"], "frac_coords": [[0.000, 0.000, 0.000], [0.500, 0.500, 0.500], [0.000, 0.000, 0.500], [0.000, 0.500, 0.000], [0.500, 0.000, 0.000]], "delta_e_f_mev_per_atom": 2423.0, "total_magnetization_mub_per_fu": 0.00, "volume_a3_per_cell": 51}